No. 1
# CuSeNF2

A relaxed CuSeNF2 crystal (GGA-PBE, the Alexandria database).

E (eV for the cell shown): -18.7
Energy relative to the elements, uncorrected (eV/atom): 0.1852
Calculated volume (Å³ per cell): 72.1
Space-group type: No. 123
Total moment (Bohr magnetons per cell): 0.0
Relative energy among the computed polymorphs (eV/f.u.): 0.13

abc: 4.433 4.433 3.668
angles: 90.00 90.00 90.00
Sites, in units of the cell vectors:
Cu (0.000, 0.000, 0.000)
Se (0.500, 0.500, 0.500)
N (0.500, 0.500, 0.000)
F (0.000, 0.500, 0.500)
F (0.500, 0.000, 0.500)

---

No. 2
# CuSeN2F

A relaxed CuSeN2F crystal (GGA-PBE, the Alexandria database).

E (eV for the cell shown): -19.1
Energy relative to the elements, uncorrected (eV/atom): 1.4011
Calculated volume (Å³ per cell): 76.3
Space-group type: No. 123
Total moment (Bohr magnetons per cell): 4.1
Relative energy among the computed polymorphs (eV/f.u.): 1.26

abc: 3.663 3.663 5.688
angles: 90.00 90.00 90.00
Sites, in units of the cell vectors:
Cu (0.000, 0.000, 0.000)
Se (0.000, 0.000, 0.500)
N (0.000, 0.500, 0.000)
N (0.500, 0.000, 0.000)
F (0.500, 0.500, 0.500)

---

No. 3
# CuSe2NF

A relaxed CuSe2NF crystal (GGA-PBE, the Alexandria database).

E (eV for the cell shown): -14.4
Energy relative to the elements, uncorrected (eV/atom): 1.3696
Calculated volume (Å³ per cell): 89.7
Space-group type: No. 123
Total moment (Bohr magnetons per cell): 3.2
Relative energy among the computed polymorphs (eV/f.u.): 2.51

abc: 4.436 4.436 4.560
angles: 90.00 90.00 90.00
Sites, in units of the cell vectors:
Cu (0.000, 0.000, 0.000)
Se (0.000, 0.500, 0.500)
Se (0.500, 0.000, 0.500)
N (0.500, 0.500, 0.000)
F (0.500, 0.500, 0.500)

---

No. 4
# CuSe2NF

A relaxed CuSe2NF crystal (GGA-PBE, the Alexandria database).

E (eV for the cell shown): -16.9
Energy relative to the elements, uncorrected (eV/atom): 0.8674
Calculated volume (Å³ per cell): 84.9
Space-group type: No. 123
Total moment (Bohr magnetons per cell): 1.3
Relative energy among the computed polymorphs (eV/f.u.): 0.00

abc: 4.911 4.911 3.518
angles: 90.00 90.00 90.00
Sites, in units of the cell vectors:
Cu (0.000, 0.000, 0.000)
Se (0.000, 0.500, 0.000)
Se (0.500, 0.000, 0.000)
N (0.000, 0.000, 0.500)
F (0.500, 0.500, 0.500)

---

No. 5
# CuSeNF2

A relaxed CuSeNF2 crystal (GGA-PBE, the Alexandria database).

E (eV for the cell shown): -18.9
Energy relative to the elements, uncorrected (eV/atom): 0.1583
Calculated volume (Å³ per cell): 62.8
Space-group type: No. 123
Total moment (Bohr magnetons per cell): 0.9
Relative energy among the computed polymorphs (eV/f.u.): 0.00

abc: 3.715 3.715 4.553
angles: 90.00 90.00 90.00
Sites, in units of the cell vectors:
Cu (0.000, 0.000, 0.000)
Se (0.500, 0.500, 0.500)
N (0.000, 0.000, 0.500)
F (0.000, 0.500, 0.000)
F (0.500, 0.000, 0.000)

---

No. 6
# CuSiNF2

A relaxed CuSiNF2 crystal (GGA-PBE, the Alexandria database).

E (eV for the cell shown): -26.0
Energy relative to the elements, uncorrected (eV/atom): -0.8854
Calculated volume (Å³ per cell): 51.4
Space-group type: No. 123
Total moment (Bohr magnetons per cell): 0.0
Relative energy among the computed polymorphs (eV/f.u.): 0.00

abc: 3.917 3.917 3.347
angles: 90.00 90.00 90.00
Sites, in units of the cell vectors:
Cu (0.000, 0.000, 0.000)
Si (0.500, 0.500, 0.500)
N (0.500, 0.500, 0.000)
F (0.000, 0.500, 0.500)
F (0.500, 0.000, 0.500)

---

No. 7
# CuSiNF2

A relaxed CuSiNF2 crystal (GGA-PBE, the Alexandria database).

E (eV for the cell shown): -21.6
Energy relative to the elements, uncorrected (eV/atom): -0.0051
Calculated volume (Å³ per cell): 59.4
Space-group type: No. 123
Total moment (Bohr magnetons per cell): 0.7
Relative energy among the computed polymorphs (eV/f.u.): 4.40

abc: 3.817 3.817 4.075
angles: 90.00 90.00 90.00
Sites, in units of the cell vectors:
Cu (0.000, 0.000, 0.000)
Si (0.500, 0.500, 0.500)
N (0.000, 0.000, 0.500)
F (0.000, 0.500, 0.000)
F (0.500, 0.000, 0.000)

---

No. 8
# CuSiN2F

A relaxed CuSiN2F crystal (GGA-PBE, the Alexandria database).

E (eV for the cell shown): -22.9
Energy relative to the elements, uncorrected (eV/atom): 1.0323
Calculated volume (Å³ per cell): 54.6
Space-group type: No. 123
Total moment (Bohr magnetons per cell): 0.0
Relative energy among the computed polymorphs (eV/f.u.): 5.47

abc: 3.818 3.818 3.747
angles: 90.00 90.00 90.00
Sites, in units of the cell vectors:
Cu (0.000, 0.000, 0.000)
Si (0.500, 0.500, 0.500)
N (0.000, 0.500, 0.000)
N (0.500, 0.000, 0.000)
F (0.000, 0.000, 0.500)

---

No. 9
# CuSiN2F

A relaxed CuSiN2F crystal (GGA-PBE, the Alexandria database).

E (eV for the cell shown): -28.4
Energy relative to the elements, uncorrected (eV/atom): -0.0623
Calculated volume (Å³ per cell): 47.0
Space-group type: No. 123
Total moment (Bohr magnetons per cell): 0.0
Relative energy among the computed polymorphs (eV/f.u.): 0.00

abc: 3.582 3.582 3.661
angles: 90.00 90.00 90.00
Sites, in units of the cell vectors:
Cu (0.000, 0.000, 0.000)
Si (0.500, 0.500, 0.500)
N (0.000, 0.500, 0.500)
N (0.500, 0.000, 0.500)
F (0.500, 0.500, 0.000)

---

No. 10
# CuSnNF2

A relaxed CuSnNF2 crystal (GGA-PBE, the Alexandria database).

E (eV for the cell shown): -22.5
Energy relative to the elements, uncorrected (eV/atom): -0.4682
Calculated volume (Å³ per cell): 64.3
Space-group type: No. 123
Total moment (Bohr magnetons per cell): 0.8
Relative energy among the computed polymorphs (eV/f.u.): 0.00

abc: 4.001 4.001 4.017
angles: 90.00 90.00 90.00
Sites, in units of the cell vectors:
Cu (0.000, 0.000, 0.000)
Sn (0.500, 0.500, 0.500)
N (0.000, 0.000, 0.500)
F (0.000, 0.500, 0.000)
F (0.500, 0.000, 0.000)

---

No. 11
# CuSnNF2

A relaxed CuSnNF2 crystal (GGA-PBE, the Alexandria database).

E (eV for the cell shown): -22.4
Energy relative to the elements, uncorrected (eV/atom): -0.4564
Calculated volume (Å³ per cell): 71.2
Space-group type: No. 123
Total moment (Bohr magnetons per cell): 0.0
Relative energy among the computed polymorphs (eV/f.u.): 0.06

abc: 4.241 4.241 3.958
angles: 90.00 90.00 90.00
Sites, in units of the cell vectors:
Cu (0.000, 0.000, 0.000)
Sn (0.500, 0.500, 0.500)
N (0.500, 0.500, 0.000)
F (0.000, 0.500, 0.500)
F (0.500, 0.000, 0.500)

---

No. 12
# CuTe2NF

A relaxed CuTe2NF crystal (GGA-PBE, the Alexandria database).

E (eV for the cell shown): -14.7
Energy relative to the elements, uncorrected (eV/atom): 1.1810
Calculated volume (Å³ per cell): 91.3
Space-group type: No. 123
Total moment (Bohr magnetons per cell): 0.0
Relative energy among the computed polymorphs (eV/f.u.): 3.17

abc: 4.875 4.875 3.839
angles: 90.00 90.00 90.00
Sites, in units of the cell vectors:
Cu (0.000, 0.000, 0.000)
Te (0.000, 0.500, 0.500)
Te (0.500, 0.000, 0.500)
N (0.500, 0.500, 0.000)
F (0.500, 0.500, 0.500)

---

No. 13
# CuTe2NF

A relaxed CuTe2NF crystal (GGA-PBE, the Alexandria database).

E (eV for the cell shown): -17.8
Energy relative to the elements, uncorrected (eV/atom): 0.5473
Calculated volume (Å³ per cell): 97.8
Space-group type: No. 123
Total moment (Bohr magnetons per cell): 1.4
Relative energy among the computed polymorphs (eV/f.u.): 0.00

abc: 5.301 5.301 3.481
angles: 90.00 90.00 90.00
Sites, in units of the cell vectors:
Cu (0.000, 0.000, 0.000)
Te (0.000, 0.500, 0.000)
Te (0.500, 0.000, 0.000)
N (0.000, 0.000, 0.500)
F (0.500, 0.500, 0.500)

---

No. 14
# TiCuN2F

A relaxed TiCuN2F crystal (GGA-PBE, the Alexandria database).

E (eV for the cell shown): -31.8
Energy relative to the elements, uncorrected (eV/atom): -0.2547
Calculated volume (Å³ per cell): 60.0
Space-group type: No. 123
Total moment (Bohr magnetons per cell): 0.0
Relative energy among the computed polymorphs (eV/f.u.): 0.00

abc: 3.933 3.933 3.878
angles: 90.00 90.00 90.00
Sites, in units of the cell vectors:
Ti (0.000, 0.000, 0.000)
Cu (0.500, 0.500, 0.500)
N (0.000, 0.500, 0.000)
N (0.500, 0.000, 0.000)
F (0.000, 0.000, 0.500)

---

No. 15
# TiCuN2F

A relaxed TiCuN2F crystal (GGA-PBE, the Alexandria database).

E (eV for the cell shown): -29.1
Energy relative to the elements, uncorrected (eV/atom): 0.2741
Calculated volume (Å³ per cell): 52.0
Space-group type: No. 123
Total moment (Bohr magnetons per cell): 0.0
Relative energy among the computed polymorphs (eV/f.u.): 2.64

abc: 3.759 3.759 3.677
angles: 90.00 90.00 90.00
Sites, in units of the cell vectors:
Ti (0.000, 0.000, 0.000)
Cu (0.500, 0.500, 0.500)
N (0.000, 0.500, 0.500)
N (0.500, 0.000, 0.500)
F (0.500, 0.500, 0.000)

---

No. 16
# TlCuN2F

A relaxed TlCuN2F crystal (GGA-PBE, the Alexandria database).

E (eV for the cell shown): -17.9
Energy relative to the elements, uncorrected (eV/atom): 1.4199
Calculated volume (Å³ per cell): 84.6
Space-group type: No. 123
Total moment (Bohr magnetons per cell): 2.5
Relative energy among the computed polymorphs (eV/f.u.): 3.62

abc: 4.335 4.335 4.499
angles: 90.00 90.00 90.00
Sites, in units of the cell vectors:
Tl (0.000, 0.000, 0.000)
Cu (0.500, 0.500, 0.500)
N (0.000, 0.500, 0.000)
N (0.500, 0.000, 0.000)
F (0.000, 0.000, 0.500)

---

No. 17
# TlCuN2F

A relaxed TlCuN2F crystal (GGA-PBE, the Alexandria database).

E (eV for the cell shown): -21.5
Energy relative to the elements, uncorrected (eV/atom): 0.6960
Calculated volume (Å³ per cell): 71.1
Space-group type: No. 123
Total moment (Bohr magnetons per cell): 3.1
Relative energy among the computed polymorphs (eV/f.u.): 0.00

abc: 3.791 3.791 4.946
angles: 90.00 90.00 90.00
Sites, in units of the cell vectors:
Tl (0.000, 0.000, 0.000)
Cu (0.500, 0.500, 0.500)
N (0.000, 0.500, 0.500)
N (0.500, 0.000, 0.500)
F (0.500, 0.500, 0.000)